1.
Here is a relaxed structure of AgMoPb2 from Alexandria via LeMat-Bulk. Energies are from PBEsol.

Cell lengths 3.1105, 3.1105, 9.1982 Å; angles 90.00, 90.00, 106.36 degrees
Last column: nearest neighbours and their distance in Å.
Positions (direct):
Ag (0.0000, 0.0000, 0.0000)  4 Pb 3.05, 4 Ag 3.11
Mo (0.0000, 0.0000, 0.5000)  4 Pb 2.87, 4 Mo 3.11
Pb (0.5000, 0.5000, 0.2624)  2 Mo 2.87, 2 Ag 3.05, 4 Pb 3.11
Pb (0.5000, 0.5000, 0.7376)  2 Mo 2.87, 2 Ag 3.05, 4 Pb 3.11

Total moment = 0.0 μB per cell
Calculated formation energy = 236.2 kJ/mol of formula units
Volume = 85.4 Å³ per cell
Crystal system = orthorhombic

2.
Here is a relaxed structure of AgMoPb2 from Alexandria via LeMat-Bulk. Energies are from PBEsol.

Cell lengths 3.5801, 3.5801, 6.3627 Å; angles 90.00, 90.00, 90.00 degrees
Last column: nearest neighbours and their distance in Å.
Positions (direct):
Ag (0.0000, 0.0000, 0.0000)  8 Pb 3.02, 2 Mo 3.18
Mo (0.0000, 0.0000, 0.5000)  8 Pb 2.96, 2 Ag 3.18
Pb (0.5000, 0.5000, 0.2590)  4 Mo 2.96, 4 Ag 3.02, 2 Pb 3.07-3.30
Pb (0.5000, 0.5000, 0.7410)  4 Mo 2.96, 4 Ag 3.02, 2 Pb 3.07-3.30

Total moment = 0.0 μB per cell
Calculated formation energy = 214.9 kJ/mol of formula units
Volume = 81.6 Å³ per cell
Crystal system = tetragonal

3.
Here is a relaxed structure of Ag2MoPb from Alexandria via LeMat-Bulk. Energies are from PBEsol.

Cell lengths 2.9194, 5.1169, 4.9542 Å; angles 90.00, 91.96, 90.00 degrees
Last column: nearest neighbours and their distance in Å.
Positions (direct):
Ag (0.2366, 0.0000, 0.2364)  6 Ag 2.68-3.00, 2 Mo 2.93, 2 Pb 2.96
Ag (0.7634, 0.0000, 0.7637)  6 Ag 2.68-3.00, 2 Mo 2.93, 2 Pb 2.96
Mo (0.5000, 0.5000, 0.0000)  4 Pb 2.83-2.92, 2 Mo 2.92, 4 Ag 2.93
Pb (0.0000, 0.5000, 0.5000)  4 Mo 2.83-2.92, 2 Pb 2.92, 4 Ag 2.96

Total moment = 0.0 μB per cell
Calculated formation energy = 221.6 kJ/mol of formula units
Volume = 74.0 Å³ per cell
Crystal system = monoclinic

4.
Here is a relaxed structure of Ag2MoPb from Alexandria via LeMat-Bulk. Energies are from PBEsol.

Cell lengths 2.8840, 2.8840, 9.0831 Å; angles 90.00, 90.00, 90.00 degrees
Last column: nearest neighbours and their distance in Å.
Positions (direct):
Ag (0.0000, 0.0000, 0.2204)  4 Mo 2.86, 4 Ag 2.88
Ag (0.0000, 0.0000, 0.7796)  4 Mo 2.86, 4 Ag 2.88
Mo (0.5000, 0.5000, 0.0000)  8 Ag 2.86, 4 Mo 2.88
Pb (0.5000, 0.5000, 0.5000)  4 Pb 2.88

Total moment = 0.0 μB per cell
Calculated formation energy = 193.9 kJ/mol of formula units
Volume = 75.5 Å³ per cell
Crystal system = tetragonal

5.
Here is a relaxed structure of AgMo2Pd from Alexandria via LeMat-Bulk. Energies are from PBEsol.

Cell lengths 4.4474, 4.4474, 4.4474 Å; angles 60.00, 60.00, 60.00 degrees
Last column: nearest neighbours and their distance in Å.
Positions (direct):
Ag (0.0000, 0.0000, 0.0000)  8 Mo 2.72
Mo (0.2500, 0.2500, 0.2500)  4 Pd 2.72, 4 Ag 2.72
Mo (0.7500, 0.7500, 0.7500)  4 Pd 2.72, 4 Ag 2.72
Pd (0.5000, 0.5000, 0.5000)  8 Mo 2.72

Total moment = 0.0 μB per cell
Calculated formation energy = 277.9 kJ/mol of formula units
Volume = 62.2 Å³ per cell
Crystal system = cubic

6.
Here is a relaxed structure of AgMo2Pt from Alexandria via LeMat-Bulk. Energies are from PBEsol.

Cell lengths 4.7935, 4.7935, 4.7935 Å; angles 131.05, 131.05, 71.73 degrees
Last column: nearest neighbours and their distance in Å.
Positions (direct):
Ag (0.0000, 0.0000, 0.0000)  8 Mo 2.78-2.81, 4 Pt 2.78
Mo (0.5000, 0.5000, 0.0000)  4 Mo 2.78, 4 Pt 2.78, 4 Ag 2.81
Mo (0.7500, 0.2500, 0.5000)  4 Mo 2.78, 4 Ag 2.78, 4 Pt 2.81
Pt (0.2500, 0.7500, 0.5000)  8 Mo 2.78-2.81, 4 Ag 2.78

Total moment = 0.0 μB per cell
Calculated formation energy = 85.3 kJ/mol of formula units
Volume = 61.3 Å³ per cell
Crystal system = tetragonal

7.
Here is a relaxed structure of AgMo2Pt from Alexandria via LeMat-Bulk. Energies are from PBEsol.

Cell lengths 4.9946, 4.9946, 2.6858 Å; angles 90.00, 90.00, 114.96 degrees
Last column: nearest neighbours and their distance in Å.
Positions (direct):
Ag (0.0000, 0.0000, 0.0000)  2 Pt 2.68, 2 Ag 2.69, 8 Mo 2.84
Mo (0.0000, 0.5000, 0.5000)  4 Mo 2.68-2.69, 4 Pt 2.84, 4 Ag 2.84
Mo (0.5000, 0.0000, 0.5000)  4 Mo 2.68-2.69, 4 Pt 2.84, 4 Ag 2.84
Pt (0.5000, 0.5000, 0.0000)  2 Ag 2.68, 2 Pt 2.69, 8 Mo 2.84

Total moment = 0.0 μB per cell
Calculated formation energy = 51.3 kJ/mol of formula units
Volume = 60.7 Å³ per cell
Crystal system = orthorhombic

8.
Here is a relaxed structure of AgMoPt2 from Alexandria via LeMat-Bulk. Energies are from PBEsol.

Cell lengths 4.8432, 4.8432, 4.8305 Å; angles 98.79, 98.79, 32.96 degrees
Last column: nearest neighbours and their distance in Å.
Positions (direct):
Ag (0.0000, 0.0000, 0.0000)  7 Pt 2.69-2.82, 2 Ag 2.75, 3 Mo 2.83-2.89
Mo (0.2440, 0.2440, 0.7163)  7 Pt 2.69-2.81, 2 Mo 2.75, 3 Ag 2.83-2.89
Pt (0.5012, 0.5012, 0.5107)  3 Mo 2.69-2.73, 4 Ag 2.74-2.82, 5 Pt 2.75-2.89
Pt (0.7534, 0.7534, 0.2273)  3 Ag 2.69-2.79, 4 Mo 2.75-2.81, 5 Pt 2.75-2.89

Total moment = 0.0 μB per cell
Calculated formation energy = -21.6 kJ/mol of formula units
Volume = 60.9 Å³ per cell
Crystal system = monoclinic